A plane-wave DFT calculation with PBE was carried out for crystalline PmMoW at its relaxed geometry.

Unit cell a=4.5801 b=4.5801 c=4.5801 alpha=60.00 beta=60.00 gamma=60.00
Element x y z (fractional)
Pm  0.0000  0.0000  0.0000
Mo  0.5000  0.5000  0.5000
W  0.7500  0.7500  0.7500

**Space group**: F-43m
**DFT formation energy**: 0.96 eV per atom